[1]
A relaxed PaCuNi2H8 crystal. Source: Alexandria via LeMat-Bulk, functional GGA-PBE.

Electronic total energy, eV for the cell shown: -52.0

Cell: 4.5165 4.5165 6.2404 Å, 90.00 90.00 120.00°
Space group P-3m1 (No. 164)
Symmetry-distinct sites (fractional):
Pa 0.0000 0.0000 0.0000 [1 per cell]
Cu 0.0000 0.0000 0.5000 [1 per cell]
Ni 0.3333 0.6667 0.1786 [2 per cell]
H 0.1556 0.3112 0.3131 [6 per cell]
H 0.3333 0.6667 0.9288 [2 per cell]



[2]
A relaxed Ag2PW crystal. Source: Alexandria via LeMat-Bulk, functional GGA-PBE.

Energy relative to the elements, eV/atom: 0.008

Cell: 5.2753 3.0100 17.6615 Å, 90.00 95.09 90.00°
Space group C2/m (No. 12)
Symmetry-distinct sites (fractional):
Ag 0.1010 0.0000 0.3007 [4 per cell]
Ag 0.1867 0.0000 0.5676 [4 per cell]
P 0.0472 0.0000 0.1586 [4 per cell]
W 0.1500 0.5000 0.9369 [4 per cell]



[3]
A relaxed Ce3Dy2TmN6 crystal. Source: Alexandria via LeMat-Bulk, functional GGA-PBE.

Formation energy without anion corrections, eV/f.u.: -19.29

Cell: 6.0758 10.5225 6.0849 Å, 90.00 109.45 90.00°
Space group C2/m (No. 12)
Symmetry-distinct sites (fractional):
Ce 0.0000 0.0000 0.0000 [2 per cell]
Ce 0.0000 0.3334 0.0000 [4 per cell]
Dy 0.0000 0.1666 0.5000 [4 per cell]
Tm 0.0000 0.5000 0.5000 [2 per cell]
N 0.2467 0.3353 0.7458 [8 per cell]
N 0.2473 0.5000 0.2535 [4 per cell]



[4]
A relaxed NpInN2 crystal. Source: Alexandria via LeMat-Bulk, functional GGA-PBE.

Formation energy without anion corrections, eV/f.u.: -2.20

Cell: 3.4711 3.4711 21.1126 Å, 90.00 90.00 120.00°
Space group R-3m (No. 166, hexagonal axes)
Symmetry-distinct sites (fractional):
Np 0.0000 0.0000 0.0000 [3 per cell]
In 0.0000 0.0000 0.5000 [3 per cell]
N 0.0000 0.0000 0.3766 [6 per cell]



[5]
A relaxed CsZrV3 crystal. Source: Alexandria via LeMat-Bulk, functional GGA-PBE.

Relative energy among the computed polymorphs, kcal/mol of atoms: 8.011
Energy relative to the elements, eV/atom: 2.322

Cell: 4.7534 4.7534 4.7534 Å, 90.00 90.00 90.00°
Space group Pm-3m (No. 221)
Symmetry-distinct sites (fractional):
Cs 0.0000 0.0000 0.0000 [1 per cell]
Zr 0.5000 0.5000 0.5000 [1 per cell]
V 0.0000 0.0000 0.5000 [3 per cell]



[6]
A relaxed LiMnTc crystal. Source: Alexandria via LeMat-Bulk, functional GGA-PBE.

Relative energy among the computed polymorphs, kcal/mol of atoms: 3.617
Energy relative to the elements, eV/atom: 0.366

Cell: 2.5715 2.5715 13.1097 Å, 90.00 90.00 90.00°
Space group I4mm (No. 107)
Symmetry-distinct sites (fractional):
Li 0.0000 0.0000 0.0000 [2 per cell]
Mn 0.0000 0.0000 0.3267 [2 per cell]
Tc 0.0000 0.0000 0.6717 [2 per cell]



[7]
A relaxed Pr3Ni2Rh4 crystal. Source: Alexandria via LeMat-Bulk, functional GGA-PBE.

Energy relative to the elements, eV/atom: -0.404

Cell: 4.2619 4.2619 23.8740 Å, 90.00 90.00 120.00°
Space group P3m1 (No. 156)
Symmetry-distinct sites (fractional):
Pr 0.0000 0.0000 0.0000 [1 per cell]
Pr 0.0000 0.0000 0.1619 [1 per cell]
Pr 0.0000 0.0000 0.3302 [1 per cell]
Pr 0.0000 0.0000 0.4954 [1 per cell]
Pr 0.0000 0.0000 0.6662 [1 per cell]
Pr 0.0000 0.0000 0.8315 [1 per cell]
Ni 0.3333 0.6667 0.0810 [1 per cell]
Ni 0.6667 0.3333 0.0810 [1 per cell]
Ni 0.6667 0.3333 0.4125 [1 per cell]
Ni 0.6667 0.3333 0.7492 [1 per cell]
Rh 0.3333 0.6667 0.2445 [1 per cell]
Rh 0.3333 0.6667 0.4125 [1 per cell]
Rh 0.3333 0.6667 0.5809 [1 per cell]
Rh 0.3333 0.6667 0.7492 [1 per cell]
Rh 0.3333 0.6667 0.9173 [1 per cell]
Rh 0.6667 0.3333 0.2445 [1 per cell]
Rh 0.6667 0.3333 0.5808 [1 per cell]
Rh 0.6667 0.3333 0.9173 [1 per cell]



[8]
A relaxed SiIr2Br crystal. Source: Alexandria via LeMat-Bulk, functional GGA-PBE.

Relative energy among the computed polymorphs, kcal/mol of atoms: 5.225
Formation energy without anion corrections, eV/f.u.: 0.71

Cell: 2.9577 2.9577 7.3560 Å, 90.00 90.00 90.00°
Space group P4/mmm (No. 123)
Symmetry-distinct sites (fractional):
Si 0.0000 0.0000 0.0000 [1 per cell]
Ir 0.5000 0.5000 0.1880 [2 per cell]
Br 0.0000 0.0000 0.5000 [1 per cell]